# K2SrNiF6, relaxed, DFT GGA+U
data_K2SrNiF6
_cell_length_a 6.053
_cell_length_b 8.761
_cell_length_c 6.419
_cell_angle_alpha 90.00
_cell_angle_beta 90.00
_cell_angle_gamma 90.00
_space_group_name_H-M_alt 'P 1'
_space_group_IT_number 1
_space_group_name_Hall 'P 1'
loop_
_atom_site_label
_atom_site_type_symbol
_atom_site_fract_x
_atom_site_fract_y
_atom_site_fract_z
K1 K 0.250 0.021 0.207
K2 K 0.250 0.479 0.207
K3 K 0.750 0.521 0.793
K4 K 0.750 0.979 0.793
Sr1 Sr 0.250 0.250 0.719
Sr2 Sr 0.750 0.750 0.281
Ni1 Ni 0.250 0.750 0.775
Ni2 Ni 0.750 0.250 0.225
F1 F 0.007 0.750 0.559
F2 F 0.017 0.750 0.005
F3 F 0.250 0.518 0.779
F4 F 0.250 0.982 0.779
F5 F 0.483 0.750 0.005
F6 F 0.493 0.750 0.559
F7 F 0.507 0.250 0.441
F8 F 0.517 0.250 0.995
F9 F 0.750 0.018 0.221
F10 F 0.750 0.482 0.221
F11 F 0.983 0.250 0.995
F12 F 0.993 0.250 0.441
# SG	Pmmn, No. 59
# theoretical density	3302	kg/m³
# density of states at the Fermi level	0.000	states/eV/atom
# electronic total energy	-46.95	eV/f.u.
# calculated volume	17.021	Å³ per atom